Entry 1:
First-principles (PBE) data for an optimized crystal structure of InPO2F, as listed in the Alexandria database.

Space group: P4/mmm
ΔE_f (raw), eV/atom: 0.40
V, Å³ per cell: 70
DFT total energy, eV for the cell shown: -17.935
M_tot, μB per formula unit: 0.000

Unit cell a=4.5256 b=4.5256 c=3.4097 alpha=90.00 beta=90.00 gamma=90.00
Positions (direct):
In 0.0000 0.0000 0.0000
P 0.5000 0.5000 0.0000
O 0.0000 0.5000 0.5000
O 0.5000 0.0000 0.5000
F 0.5000 0.5000 0.5000


Entry 2:
First-principles (PBE) data for an optimized crystal structure of LiLa14Dy, as listed in the Alexandria database.

Space group: P4/mmm
V, Å³ per cell: 567
DFT total energy, eV for the cell shown: -75.022
M_tot, μB per formula unit: 0.000

Unit cell a=7.3428 b=7.3428 c=10.5092 alpha=90.00 beta=90.00 gamma=90.00
Positions (direct):
Li 0.0000 0.0000 0.0000
La 0.0000 0.0000 0.5000
La 0.0000 0.5000 0.0000
La 0.0000 0.5000 0.5000
La 0.2494 0.2494 0.2474
La 0.2494 0.2494 0.7526
La 0.2494 0.7506 0.2474
La 0.2494 0.7506 0.7526
La 0.5000 0.0000 0.0000
La 0.5000 0.0000 0.5000
La 0.5000 0.5000 0.5000
La 0.7506 0.2494 0.2474
La 0.7506 0.2494 0.7526
La 0.7506 0.7506 0.2474
La 0.7506 0.7506 0.7526
Dy 0.5000 0.5000 0.0000